1.
Here is LiY2AsN after structural relaxation from the Alexandria database. Energies are from PBE.

```
5
Lattice="4.735 0.000 0.000 0.000 4.735 0.000 0.000 0.000 4.036" Properties=species:S:1:pos:R:3 pbc="T T T"
Li 0.000 0.000 0.000
Y 0.000 2.368 2.018
Y 2.368 0.000 2.018
As 2.368 2.368 0.000
N 0.000 0.000 2.018
```

Calculated values
Crystal system: tetragonal
Mass density in Mg/m³: 5.0
Calculated total energy in Ry/atom: -0.495
Formation energy without anion corrections in kJ/mol of formula units: -564

***

2.
Here is LiZrAsN2 after structural relaxation from the Alexandria database. Energies are from PBE.

```
5
Lattice="4.088 0.000 0.000 0.000 4.088 0.000 0.000 0.000 6.511" Properties=species:S:1:pos:R:3 pbc="T T T"
Li 0.000 0.000 0.000
Zr 0.000 0.000 3.256
As 2.044 2.044 0.000
N 0.000 2.044 3.256
N 2.044 0.000 3.256
```

Calculated values
Crystal system: tetragonal
Mass density in Mg/m³: 3.1
Calculated total energy in Ry/atom: -0.411
Formation energy without anion corrections in kJ/mol of formula units: 365

***

3.
Here is NaLiAs2 after structural relaxation from the Alexandria database. Energies are from PBE.

```
8
Lattice="-2.166 2.166 9.143 2.166 -2.166 9.143 2.166 2.166 -9.143" Properties=species:S:1:pos:R:3 pbc="T T T"
Na 0.000 0.000 0.000
Na 0.000 2.166 4.572
Li 2.166 0.000 4.572
Li 0.000 0.000 9.143
As 1.083 -0.769 6.857
As 1.397 1.083 2.286
As 1.083 2.935 -2.286
As 0.769 1.083 11.429
```

Calculated values
Crystal system: tetragonal
ΔE to the lowest computed polymorph in meV per atom: 108
Mass density in Mg/m³: 3.5
Calculated total energy in Ry/atom: -0.251
Formation energy in eV/atom: -0.280

***

4.
Here is NaLiAs2 after structural relaxation from the Alexandria database. Energies are from PBE.

```
4
Lattice="3.650 0.000 0.000 0.000 3.650 0.000 0.000 0.000 6.147" Properties=species:S:1:pos:R:3 pbc="T T T"
Na 0.000 0.000 0.000
Li 0.000 0.000 3.073
As 1.825 1.825 1.907
As 1.825 1.825 4.240
```

Calculated values
Crystal system: tetragonal
ΔE to the lowest computed polymorph in meV per atom: 0
Mass density in Mg/m³: 3.6
Calculated total energy in Ry/atom: -0.259
Formation energy in eV/atom: -0.388